Entry 1
Density functional theory data (PBE) for a relaxed TcSnPS2 crystal.

Results
For the total magnetic moment, the calculation gives 3.9 μB per formula unit. The calculation puts the density of states at the Fermi level at 3.90 states/eV/f.u. The space group is No. 123.

Cell: 4.929 4.929 5.054 Å, 90.00 90.00 90.00°
Fractional positions:
P  0.000  0.000  0.500
S  0.000  0.500  0.000
S  0.500  0.000  0.000
Sn  0.000  0.000  0.000
Tc  0.500  0.500  0.500

Entry 2
Density functional theory data (PBE) for a relaxed TcSnPS2 crystal.

Results
For the total magnetic moment, the calculation gives 0.5 μB per formula unit. The calculation puts the density of states at the Fermi level at 4.19 states/eV/f.u. The space group is No. 123.

Cell: 4.829 4.829 4.489 Å, 90.00 90.00 90.00°
Fractional positions:
P  0.000  0.000  0.500
S  0.000  0.500  0.000
S  0.500  0.000  0.000
Sn  0.500  0.500  0.500
Tc  0.000  0.000  0.000

What should be chosen as the most stable of them? Choose entry 2.

Entry 1
Density functional theory data (PBE) for a relaxed TiSnPS2 crystal.

Results
For the total magnetic moment, the calculation gives 1.3 μB per formula unit. The calculation puts the density of states at the Fermi level at 5.55 states/eV/f.u. The space group is No. 123.

Cell: 4.946 4.946 4.949 Å, 90.00 90.00 90.00°
Fractional positions:
P  0.000  0.000  0.500
S  0.000  0.500  0.000
S  0.500  0.000  0.000
Sn  0.000  0.000  0.000
Ti  0.500  0.500  0.500

Entry 2
Density functional theory data (PBE) for a relaxed TiSnPS2 crystal.

Results
For the total magnetic moment, the calculation gives 0.0 μB per formula unit. The calculation puts the density of states at the Fermi level at 2.73 states/eV/f.u. The space group is No. 123.

Cell: 4.715 4.715 4.839 Å, 90.00 90.00 90.00°
Fractional positions:
P  0.000  0.000  0.500
S  0.000  0.500  0.000
S  0.500  0.000  0.000
Sn  0.500  0.500  0.500
Ti  0.000  0.000  0.000

What should be chosen as the most stable of them? Choose entry 2.

Entry 1
Density functional theory data (PBE) for a relaxed SnPWS2 crystal.

Results
For the total magnetic moment, the calculation gives 0.0 μB per formula unit. The calculation puts the density of states at the Fermi level at 2.88 states/eV/f.u. The space group is No. 123.

Cell: 4.650 4.650 4.959 Å, 90.00 90.00 90.00°
Fractional positions:
P  0.000  0.000  0.500
S  0.000  0.500  0.000
S  0.500  0.000  0.000
Sn  0.500  0.500  0.500
W  0.000  0.000  0.000

Entry 2
Density functional theory data (PBE) for a relaxed SnPWS2 crystal.

Results
For the total magnetic moment, the calculation gives 2.6 μB per formula unit. The calculation puts the density of states at the Fermi level at 3.27 states/eV/f.u. The space group is No. 123.

Cell: 4.871 4.871 4.963 Å, 90.00 90.00 90.00°
Fractional positions:
P  0.000  0.000  0.500
S  0.000  0.500  0.000
S  0.500  0.000  0.000
Sn  0.000  0.000  0.000
W  0.500  0.500  0.500

What should be chosen as the most stable of them? Choose entry 1.

Entry 1
Density functional theory data (PBE) for a relaxed ZrSnP2S crystal.

Results
For the total magnetic moment, the calculation gives 0.0 μB per formula unit. The calculation puts the density of states at the Fermi level at 2.51 states/eV/f.u. The space group is No. 123.

Cell: 4.896 4.896 4.901 Å, 90.00 90.00 90.00°
Fractional positions:
P  0.000  0.500  0.000
P  0.500  0.000  0.000
S  0.000  0.000  0.500
Sn  0.000  0.000  0.000
Zr  0.500  0.500  0.500

Entry 2
Density functional theory data (PBE) for a relaxed ZrSnP2S crystal.

Results
For the total magnetic moment, the calculation gives 0.0 μB per formula unit. The calculation puts the density of states at the Fermi level at 4.28 states/eV/f.u. The space group is No. 123.

Cell: 5.074 5.074 4.927 Å, 90.00 90.00 90.00°
Fractional positions:
P  0.000  0.500  0.000
P  0.500  0.000  0.000
S  0.000  0.000  0.500
Sn  0.500  0.500  0.500
Zr  0.000  0.000  0.000

What should be chosen as the most stable of them? Choose entry 2.

Entry 1
Density functional theory data (PBE) for a relaxed Sr2P2S crystal.

Results
For the total magnetic moment, the calculation gives 0.0 μB per formula unit. The calculation puts the density of states at the Fermi level at 1.79 states/eV/f.u. The space group is No. 127.

Cell: 7.806 7.806 4.098 Å, 90.00 90.00 90.00°
Fractional positions:
Sr  0.197  0.697  0.500
Sr  0.697  0.803  0.500
Sr  0.803  0.303  0.500
Sr  0.303  0.197  0.500
S  0.000  0.000  0.000
S  0.500  0.500  0.000
P  0.405  0.905  0.000
P  0.905  0.595  0.000
P  0.595  0.095  0.000
P  0.095  0.405  0.000

Entry 2
Density functional theory data (PBE) for a relaxed Sr2P2S crystal.

Results
For the total magnetic moment, the calculation gives 1.5 μB per formula unit. The calculation puts the density of states at the Fermi level at 3.89 states/eV/f.u. The space group is No. 139.

Cell: 5.665 5.665 5.914 Å, 61.38 61.38 90.00°
Fractional positions:
Sr  0.750  0.250  0.500
Sr  0.250  0.750  0.500
S  0.000  0.000  0.000
P  0.382  0.382  0.236
P  0.618  0.618  0.764

What should be chosen as the most stable of them? Choose entry 1.

Entry 1
Density functional theory data (PBE) for a relaxed SrTaPS2 crystal.

Results
For the total magnetic moment, the calculation gives 0.0 μB per formula unit. The calculation puts the density of states at the Fermi level at 9.56 states/eV/f.u. The space group is No. 123.

Cell: 5.184 5.184 5.186 Å, 90.00 90.00 90.00°
Fractional positions:
Sr  0.000  0.000  0.000
S  0.000  0.500  0.000
S  0.500  0.000  0.000
P  0.000  0.000  0.500
Ta  0.500  0.500  0.500

Entry 2
Density functional theory data (PBE) for a relaxed SrTaPS2 crystal.

Results
For the total magnetic moment, the calculation gives 0.0 μB per formula unit. The calculation puts the density of states at the Fermi level at 2.37 states/eV/f.u. The space group is No. 123.

Cell: 4.841 4.841 4.910 Å, 90.00 90.00 90.00°
Fractional positions:
Sr  0.500  0.500  0.500
S  0.000  0.500  0.000
S  0.500  0.000  0.000
P  0.000  0.000  0.500
Ta  0.000  0.000  0.000

What should be chosen as the most stable of them? Choose entry 2.

Entry 1
Density functional theory data (PBE) for a relaxed SrTeP2S crystal.

Results
For the total magnetic moment, the calculation gives 2.0 μB per formula unit. The calculation puts the density of states at the Fermi level at 8.09 states/eV/f.u. The space group is No. 123.

Cell: 5.634 5.634 5.318 Å, 90.00 90.00 90.00°
Fractional positions:
Sr  0.000  0.000  0.000
S  0.000  0.000  0.500
Te  0.500  0.500  0.500
P  0.000  0.500  0.000
P  0.500  0.000  0.000

Entry 2
Density functional theory data (PBE) for a relaxed SrTeP2S crystal.

Results
For the total magnetic moment, the calculation gives 0.0 μB per formula unit. The calculation puts the density of states at the Fermi level at 3.59 states/eV/f.u. The space group is No. 123.

Cell: 5.062 5.062 5.234 Å, 90.00 90.00 90.00°
Fractional positions:
Sr  0.500  0.500  0.500
S  0.000  0.000  0.500
Te  0.000  0.000  0.000
P  0.000  0.500  0.000
P  0.500  0.000  0.000

What should be chosen as the most stable of them? Choose entry 2.